DFT (PBE) results for crystalline Li4ZrAlO6 at its relaxed geometry.

abc: 5.1577 5.1577 5.0725
angles: 99.54 99.54 120.21
Closest atoms and distances in Å follow each position.
Element x y z (fractional)
Al 0.1659 0.8341 0.0000  6 O 1.92-1.95
O 0.9382 0.6010 0.2294  1 Al 1.92, 3 Li 2.02-2.13, 1 Zr 2.09
Zr 0.8339 0.1661 0.0000  6 O 2.09-2.10
O 0.5513 0.9166 0.2347  1 Al 1.94, 3 Li 2.09-2.15, 1 Zr 2.10
Li 0.0156 0.9844 0.5000  4 O 2.02-2.06
Li 0.6521 0.3479 0.5000  6 O 2.03-2.26
O 0.3990 0.0618 0.7706  1 Al 1.92, 3 Li 2.02-2.13, 1 Zr 2.09
Li 0.3399 0.6601 0.5000  6 O 2.09-2.20
O 0.2387 0.2171 0.2353  1 Al 1.95, 3 Li 2.03-2.12, 1 Zr 2.09
Li 0.4991 0.5009 0.0000  6 O 2.12-2.13
O 0.7829 0.7613 0.7647  1 Al 1.95, 3 Li 2.03-2.12, 1 Zr 2.09
O 0.0834 0.4487 0.7653  1 Al 1.94, 3 Li 2.09-2.15, 1 Zr 2.10

Output
The electronic total energy is -78.23 eV per cell. The size of the total moment comes out at 1.00 Bohr magnetons per cell.

***

DFT (PBE) results for crystalline Sm2ScO4 at its relaxed geometry.

abc: 6.7270 6.7270 6.7270
angles: 119.99 90.01 119.99
Closest atoms and distances in Å follow each position.
Element x y z (fractional)
O 0.6336 0.7557 0.8779  1 Sc 2.01
O 0.1221 0.7557 0.8779  1 Sc 2.01
O 0.6279 0.7443 0.3721  1 Sc 2.01
Sc 0.0000 0.0000 0.0000  4 O 2.01
O 0.1221 0.2443 0.8779  1 Sc 2.01
O 0.1164 0.7443 0.3721  1 Sc 2.01
O 0.1221 0.2443 0.3664  1 Sc 2.01
O 0.6279 0.2557 0.8836  1 Sc 2.01
Sm 0.3750 0.7500 0.1250  6 O 2.41
Sc 0.7500 0.5000 0.2500  4 O 2.01
Sm 0.8750 0.2500 0.6250  6 O 2.41
Sm 0.3750 0.7500 0.6250  6 O 2.41
Sm 0.3750 0.2500 0.6250  6 O 2.41
O 0.6279 0.2557 0.3721  1 Sc 2.01

Output
The electronic total energy is -115.13 eV per cell. The size of the total moment comes out at 0.00 Bohr magnetons per cell.

***

DFT (PBE) results for crystalline Li2Cu at its relaxed geometry.

abc: 7.4702 7.4702 7.4702
angles: 60.00 60.00 60.00
Closest atoms and distances in Å follow each position.
Element x y z (fractional)
Cu 0.5000 0.5000 0.5000  4 Li 2.29
Li 0.3750 0.8750 0.3750  2 Cu 2.29
Li 0.3750 0.3750 0.3750  2 Cu 2.29
Cu 0.2500 0.2500 0.2500  4 Li 2.29
Li 0.3750 0.3750 0.8750  2 Cu 2.29
Li 0.8750 0.3750 0.3750  2 Cu 2.29

Output
The electronic total energy is -10.12 eV per cell.